Record 1
First-principles (PBE-GGA) data for an optimized crystal structure of Cd2SnSbIr, as listed in Alexandria via LeMat-Bulk.

Cell: 5.4719 4.9292 5.4719 Å, 90.00 90.00 90.00°
With the nearest neighbours (Å) after each atom.
Atoms (fractional coordinates):
Cd 0.0000 0.0000 0.5000  2 Sb 2.74
Cd 0.5000 0.0000 0.0000  2 Sb 2.74
Sb 0.0000 0.0000 0.0000  2 Ir 2.46, 4 Cd 2.74
Ir 0.0000 0.5000 0.0000  2 Sb 2.46
Sn 0.5000 0.5000 0.5000  8 Cd 3.68, 4 Ir 3.87

Formation energy without anion corrections, meV per atom: 772.5
Density of states at the Fermi level, states/eV/f.u.: 3.15
Calculated total energy, eV/atom: -2.9908

***

Record 2
First-principles (PBE-GGA) data for an optimized crystal structure of SrCdSb2Ir, as listed in Alexandria via LeMat-Bulk.

Cell: 5.4662 5.0936 5.4662 Å, 90.00 90.00 90.00°
With the nearest neighbours (Å) after each atom.
Atoms (fractional coordinates):
Sb 0.0000 0.0000 0.5000  2 Cd 2.73
Sb 0.5000 0.0000 0.0000  2 Cd 2.73
Cd 0.0000 0.0000 0.0000  2 Ir 2.55, 4 Sb 2.73
Sr 0.5000 0.5000 0.5000  8 Sb 3.74, 4 Ir 3.87
Ir 0.0000 0.5000 0.0000  2 Cd 2.55

Formation energy without anion corrections, meV per atom: 503.3
Density of states at the Fermi level, states/eV/f.u.: 4.18
Calculated total energy, eV/atom: -3.4372

***

Record 3
First-principles (PBE-GGA) data for an optimized crystal structure of Ta2CdSbIr, as listed in Alexandria via LeMat-Bulk.

Cell: 4.9763 5.0435 4.9763 Å, 90.00 90.00 90.00°
With the nearest neighbours (Å) after each atom.
Atoms (fractional coordinates):
Ta 0.5000 0.0000 0.0000  2 Cd 2.49
Ta 0.0000 0.0000 0.5000  2 Cd 2.49
Ir 0.5000 0.5000 0.5000  4 Sb 3.52, 8 Ta 3.54
Cd 0.0000 0.0000 0.0000  4 Ta 2.49, 2 Sb 2.52
Sb 0.0000 0.5000 0.0000  2 Cd 2.52

Formation energy without anion corrections, meV per atom: 2381.8
Density of states at the Fermi level, states/eV/f.u.: 7.73
Calculated total energy, eV/atom: -5.1390
Energy relative to the lowest polymorph listed for this composition, kJ/mol of atoms: 152.4

***

Record 4
First-principles (PBE-GGA) data for an optimized crystal structure of Ta2CdSbIr, as listed in Alexandria via LeMat-Bulk.

Cell: 5.0476 5.0476 4.8472 Å, 90.00 90.00 90.00°
With the nearest neighbours (Å) after each atom.
Atoms (fractional coordinates):
Ta 0.0000 0.5000 0.0000  2 Sb 2.52
Ta 0.5000 0.0000 0.0000  2 Sb 2.52
Ir 0.0000 0.0000 0.5000  2 Sb 2.42
Cd 0.5000 0.5000 0.5000  8 Ta 3.50, 4 Ir 3.57
Sb 0.0000 0.0000 0.0000  2 Ir 2.42, 4 Ta 2.52

Formation energy without anion corrections, meV per atom: 1615.9
Density of states at the Fermi level, states/eV/f.u.: 6.77
Calculated total energy, eV/atom: -5.9049
Energy relative to the lowest polymorph listed for this composition, kJ/mol of atoms: 78.5